Entry 1:
First-principles (PBE) data for a geometry-optimized CeNdAu structure, as listed in Alexandria via LeMat-Bulk.

The formation enthalpy at 0 K comes out at -0.73 eV/f.u. The value obtained for the energy above the most stable polymorph in this dataset is 222 meV/atom.

The space group is F-43m (No. 216) and the conventional cell measures 7.225, 7.225 and 7.225 Å, with angles of 90.00, 90.00 and 90.00 degrees. Symmetry generates all atoms from Ce at (0.000, 0.000, 0.000), Nd at (0.000, 0.000, 0.500) and Au at (0.250, 0.250, 0.750).



Entry 2:
First-principles (PBE) data for a geometry-optimized CeNdAu3 structure, as listed in Alexandria via LeMat-Bulk.

The formation enthalpy at 0 K comes out at -3.54 eV/f.u.

The space group is Cmcm (No. 63) and the conventional cell measures 3.698, 28.616 and 4.704 Å, with angles of 90.00, 90.00 and 90.00 degrees. Symmetry generates all atoms from Ce at (0.000, 0.072, 0.250), Nd at (0.000, 0.205, 0.750), Au at (0.000, 0.319, 0.750), Au at (0.000, 0.380, 0.250) and Au at (0.000, 0.476, 0.250).



Entry 3:
First-principles (PBE) data for a geometry-optimized CeNdAu2 structure, as listed in Alexandria via LeMat-Bulk.

The formation enthalpy at 0 K comes out at -2.28 eV/f.u.

The space group is R3m (No. 160, hexagonal axes) and the conventional cell measures 4.1489, 4.1489 and 23.0546 Å, with angles of 90.00, 90.00 and 120.00 degrees. Symmetry generates all atoms from Ce at (0.0000, 0.0000, 0.0000), Nd at (0.0000, 0.0000, 0.1700), Au at (0.0000, 0.0000, 0.4177) and Au at (0.0000, 0.0000, 0.5854).



formation enthalpy at 0 K of number 3 (CeNdAu2)?
-2.28 eV/f.u.